(1)
! POs2W PBE optimized geometry; values from VASP
&SYSTEM
  ibrav = 0, nat = 4, ntyp = 3
/
ATOMIC_SPECIES
Os 190.23 Os.upf
P 30.97 P.upf
W 183.84 W.upf
CELL_PARAMETERS angstrom
-0.6166 1.8803 -2.0736
1.8741 -1.2998 -1.7359
-4.9299 -4.1003 -2.2522
ATOMIC_POSITIONS crystal
Os 0.0000 0.0000 0.2149
Os 0.0000 0.0000 0.7851
P 0.5000 0.5000 0.0000
W 0.5000 0.5000 0.5000
! crystal system	tetragonal
! symmetry	No. 123
! V	13.96	Å³/atom
! formation energy	-0.071	eV/atom
! density of states at the Fermi level	1.87	states/eV/f.u.
! electronic total energy	-10.276	eV/atom



(2)
! TbTmTh2Sb4 PBE optimized geometry; values from VASP
&SYSTEM
  ibrav = 0, nat = 8, ntyp = 4
/
ATOMIC_SPECIES
Sb 121.76 Sb.upf
Th 232.04 Th.upf
Tm 168.93 Tm.upf
Tb 158.93 Tb.upf
CELL_PARAMETERS angstrom
-3.5243 2.5435 0.9622
-2.7612 -5.5302 4.5052
2.6392 0.9400 7.1820
ATOMIC_POSITIONS crystal
Sb 0.0000 0.7403 0.7513
Sb 0.5000 0.7388 0.2557
Sb 0.5000 0.2612 0.7443
Sb 0.0000 0.2597 0.2487
Th 0.0000 0.0000 0.0000
Th 0.5000 0.0000 0.5000
Tm 0.0000 0.5000 0.5000
Tb 0.5000 0.5000 0.0000
! crystal system	monoclinic
! symmetry	No. 10
! V	30.89	Å³/atom
! uncorrected formation energy	-23.24	kcal/mol of atoms
! density of states at the Fermi level	4.29	states/eV/f.u.
! electronic total energy	-6.062	eV/atom



(3)
! As2PtPb2 PBE optimized geometry; values from VASP
&SYSTEM
  ibrav = 0, nat = 10, ntyp = 3
/
ATOMIC_SPECIES
As 74.92 As.upf
Pb 207.20 Pb.upf
Pt 195.08 Pt.upf
CELL_PARAMETERS angstrom
-1.8363 -5.0530 3.4337
-1.9782 -2.9005 -5.3263
5.5369 -2.4886 -0.7012
ATOMIC_POSITIONS crystal
As 0.6372 0.1372 0.0000
As 0.1372 0.3628 0.0000
As 0.8628 0.6372 0.0000
As 0.3628 0.8628 0.0000
Pb 0.8126 0.6874 0.5000
Pb 0.1874 0.3126 0.5000
Pb 0.3126 0.8126 0.5000
Pb 0.6874 0.1874 0.5000
Pt 0.5000 0.5000 0.0000
Pt 0.0000 0.0000 0.0000
! relative energy among the computed polymorphs	0.0	meV per atom
! crystal system	tetragonal
! symmetry	No. 127
! V	24.87	Å³/atom
! formation energy	-0.116	eV/atom
! density of states at the Fermi level	2.43	states/eV/f.u.
! electronic total energy	-4.667	eV/atom